No. 1
! KTmGeS4 | the Alexandria database | PBE-GGA | optimized geometry; values from VASP
&SYSTEM
  ibrav = 0, nat = 14, ntyp = 4
/
ATOMIC_SPECIES
S 32.06 S.upf
K 39.10 K.upf
Ge 72.64 Ge.upf
Tm 168.93 Tm.upf
CELL_PARAMETERS angstrom
-6.396 0.528 -0.729
-0.936 -3.883 5.401
2.595 6.577 5.178
ATOMIC_POSITIONS angstrom
S 1.340 2.675 6.362
S -5.615 2.461 0.825
S -2.676 2.071 3.114
S 0.879 0.760 9.026
S -1.682 4.766 5.224
S -2.060 1.150 6.737
S -3.054 -1.545 4.627
S -6.077 0.546 3.489
K -1.737 -0.435 1.476
K -3.000 3.656 8.375
Ge -3.404 3.819 4.245
Ge -1.332 -0.597 5.606
Tm -4.517 0.458 5.813
Tm -0.220 2.764 4.038
! Space group: P2_1/m
! Energy relative to the elements, uncorrected (eV/atom): -1.228

No. 2
! ScSnGeTe2 | the Alexandria database | PBE-GGA | optimized geometry; values from VASP
&SYSTEM
  ibrav = 0, nat = 5, ntyp = 4
/
ATOMIC_SPECIES
Te 127.60 Te.upf
Sc 44.96 Sc.upf
Ge 72.64 Ge.upf
Sn 118.71 Sn.upf
CELL_PARAMETERS angstrom
5.723 0.000 0.000
0.000 5.113 0.000
0.000 0.000 5.723
ATOMIC_POSITIONS angstrom
Te 2.861 0.000 0.000
Te 0.000 0.000 2.861
Sc 2.861 2.556 2.861
Ge 0.000 2.556 0.000
Sn 0.000 0.000 0.000
! Space group: P4/mmm
! Energy relative to the elements, uncorrected (eV/atom): 0.456

No. 3
! BaZnAs2Br | the Alexandria database | PBE-GGA | optimized geometry; values from VASP
&SYSTEM
  ibrav = 0, nat = 5, ntyp = 4
/
ATOMIC_SPECIES
Zn 65.41 Zn.upf
Br 79.90 Br.upf
Ba 137.33 Ba.upf
As 74.92 As.upf
CELL_PARAMETERS angstrom
6.755 0.000 0.000
0.000 6.755 0.000
0.000 0.000 6.235
ATOMIC_POSITIONS angstrom
Zn 3.377 3.377 3.117
Br 0.000 0.000 3.117
Ba 0.000 0.000 0.000
As 0.000 3.377 0.000
As 3.377 0.000 0.000
! Space group: P4/mmm
! Energy relative to the elements, uncorrected (eV/atom): 0.389
! E above lowest polymorph (meV/atom): 909.5

No. 4
! Ac7PrCo3 | the Alexandria database | PBE-GGA | optimized geometry; values from VASP
&SYSTEM
  ibrav = 0, nat = 11, ntyp = 3
/
ATOMIC_SPECIES
Co 58.93 Co.upf
Pr 140.91 Pr.upf
Ac 227.00 Ac.upf
CELL_PARAMETERS angstrom
-3.524 -3.921 -4.260
3.604 -6.690 3.176
-7.034 2.813 3.230
ATOMIC_POSITIONS angstrom
Co -4.457 -5.016 -0.128
Co -2.669 -8.335 1.447
Co -0.967 -6.412 -1.731
Pr -1.913 -5.715 0.811
Ac -5.372 -4.230 2.485
Ac -1.744 -3.789 4.675
Ac -3.669 -2.306 -0.694
Ac -7.160 -0.910 0.909
Ac -3.530 -0.401 3.161
Ac -0.054 -1.880 1.520
Ac 1.721 -5.175 3.084
! Space group: P3m1
! Formation energy from the elements (eV per atom): -0.0224

Number 1: magnetic moment 0.00 Bohr magnetons per cell. Number 2: magnetic moment 0.83 Bohr magnetons per cell. Number 3: magnetic moment 5.01 Bohr magnetons per cell. Number 4: magnetic moment 0.00 Bohr magnetons per cell.